A plane-wave DFT calculation with PBE-GGA was carried out for crystalline DyThCdAg at its relaxed geometry.

Output
**Calculated volume**: 26.43 A^3/atom
**Formation enthalpy at 0 K**: -0.14 eV/atom

Cell: 5.3078 5.3078 5.3078 Å, 60.00 60.00 60.00°
With the nearest neighbours (Å) after each atom.
Element x y z (fractional)
Dy  0.0000  0.0000  0.0000  4 Ag 3.25, 4 Cd 3.25
Th  0.5000  0.5000  0.5000  4 Ag 3.25, 4 Cd 3.25
Cd  0.2500  0.2500  0.2500  4 Dy 3.25, 4 Th 3.25
Ag  0.7500  0.7500  0.7500  4 Th 3.25, 4 Dy 3.25